#P
VASP calculation (PBE with a Hubbard U) on Ni3MoF after structural relaxation.

Cell: 4.5791 4.5791 4.5791 Å, 90.00 90.00 90.00°
With the nearest neighbours (Å) after each atom.
Sites, in units of the cell vectors:
Ni 0.0000 0.5000 0.0000  2 Mo 2.29
Ni 0.0000 0.0000 0.5000  2 Mo 2.29
Ni 0.5000 0.0000 0.0000  2 Mo 2.29
Mo 0.0000 0.0000 0.0000  6 Ni 2.29
F 0.5000 0.5000 0.5000  12 Ni 3.24

Summary:
Total moment   2.78 μB/f.u.
Density of states at the Fermi level   0.313 states/eV per atom
Crystal system   cubic

***

#Q
VASP calculation (PBE with a Hubbard U) on Ni3MoF after structural relaxation.

Cell: 4.1892 4.1892 4.1892 Å, 90.00 90.00 90.00°
With the nearest neighbours (Å) after each atom.
Sites, in units of the cell vectors:
Ni 0.0000 0.5000 0.0000  2 F 2.09
Ni 0.0000 0.0000 0.5000  2 F 2.09
Ni 0.5000 0.0000 0.0000  2 F 2.09
Mo 0.5000 0.5000 0.5000  12 Ni 2.96
F 0.0000 0.0000 0.0000  6 Ni 2.09

Summary:
Total moment   7.32 μB/f.u.
Density of states at the Fermi level   0.286 states/eV per atom
Crystal system   cubic

***

It is #P that is the least stable of them.

***

#P
VASP calculation (PBE with a Hubbard U) on NiMoOF2 after structural relaxation.

Cell: 4.1907 4.1907 4.1418 Å, 90.00 90.00 90.00°
With the nearest neighbours (Å) after each atom.
Sites, in units of the cell vectors:
Ni 0.5000 0.5000 0.5000  8 F 2.95, 4 O 2.96
Mo 0.0000 0.0000 0.0000  2 O 2.07, 4 F 2.10
O 0.0000 0.0000 0.5000  2 Mo 2.07
F 0.0000 0.5000 0.0000  2 Mo 2.10
F 0.5000 0.0000 0.0000  2 Mo 2.10

Summary:
Total moment   1.92 μB/f.u.
Density of states at the Fermi level   0.254 states/eV per atom
Crystal system   tetragonal

***

#Q
VASP calculation (PBE with a Hubbard U) on NiMoOF2 after structural relaxation.

Cell: 3.8244 3.8244 4.2521 Å, 90.00 90.00 90.00°
With the nearest neighbours (Å) after each atom.
Sites, in units of the cell vectors:
Ni 0.0000 0.0000 0.0000  4 F 1.91, 2 O 2.13
Mo 0.5000 0.5000 0.5000  4 O 2.70, 8 F 2.86
O 0.0000 0.0000 0.5000  2 Ni 2.13
F 0.0000 0.5000 0.0000  2 Ni 1.91
F 0.5000 0.0000 0.0000  2 Ni 1.91

Summary:
Total moment   6.00 μB/f.u.
Density of states at the Fermi level   0.000 states/eV per atom
Crystal system   tetragonal

***

It is #P that is the least stable of them.

***

#P
VASP calculation (PBE with a Hubbard U) on MoP2OF after structural relaxation.

Cell: 4.7654 4.7654 3.8281 Å, 90.00 90.00 90.00°
With the nearest neighbours (Å) after each atom.
Sites, in units of the cell vectors:
P 0.0000 0.5000 0.0000  2 Mo 2.38
P 0.5000 0.0000 0.0000  2 Mo 2.38
Mo 0.0000 0.0000 0.0000  2 O 1.91
O 0.0000 0.0000 0.5000  2 Mo 1.91
F 0.5000 0.5000 0.5000  8 P 3.06, 4 O 3.37

Summary:
Total moment   0.99 μB/f.u.
Density of states at the Fermi level   0.274 states/eV per atom
Crystal system   tetragonal

***

#Q
VASP calculation (PBE with a Hubbard U) on MoP2OF after structural relaxation.

Cell: 3.9304 3.9304 4.6474 Å, 90.00 90.00 90.00°
With the nearest neighbours (Å) after each atom.
Sites, in units of the cell vectors:
P 0.0000 0.5000 0.0000  2 F 1.97
P 0.5000 0.0000 0.0000  2 F 1.97
Mo 0.5000 0.5000 0.5000  4 O 2.78, 8 P 3.04
O 0.0000 0.0000 0.5000  2 F 2.32
F 0.0000 0.0000 0.0000  4 P 1.97

Summary:
Total moment   2.24 μB/f.u.
Density of states at the Fermi level   0.458 states/eV per atom
Crystal system   tetragonal

***

It is #Q that is the least stable of them.

***

#P
VASP calculation (PBE with a Hubbard U) on ReMoOF2 after structural relaxation.

Cell: 4.3665 4.3665 3.8123 Å, 90.00 90.00 90.00°
With the nearest neighbours (Å) after each atom.
Sites, in units of the cell vectors:
Re 0.0000 0.0000 0.0000  2 O 1.91
Mo 0.5000 0.5000 0.5000  8 F 2.90, 4 O 3.09
O 0.0000 0.0000 0.5000  2 Re 1.91
F 0.0000 0.5000 0.0000  2 Re 2.18
F 0.5000 0.0000 0.0000  2 Re 2.18

Summary:
Total moment   4.99 μB/f.u.
Density of states at the Fermi level   0.430 states/eV per atom
Crystal system   tetragonal

***

#Q
VASP calculation (PBE with a Hubbard U) on ReMoOF2 after structural relaxation.

Cell: 4.4165 4.4165 3.9568 Å, 90.00 90.00 90.00°
With the nearest neighbours (Å) after each atom.
Sites, in units of the cell vectors:
Re 0.5000 0.5000 0.5000  8 F 2.96, 4 O 3.12
Mo 0.0000 0.0000 0.0000  2 O 1.98, 4 F 2.21
O 0.0000 0.0000 0.5000  2 Mo 1.98
F 0.0000 0.5000 0.0000  2 Mo 2.21
F 0.5000 0.0000 0.0000  2 Mo 2.21

Summary:
Total moment   6.24 μB/f.u.
Density of states at the Fermi level   0.428 states/eV per atom
Crystal system   tetragonal

***

It is #Q that is the least stable of them.

***

#P
VASP calculation (PBE with a Hubbard U) on SbMoOF2 after structural relaxation.

Cell: 4.5478 4.5478 4.2955 Å, 90.00 90.00 90.00°
With the nearest neighbours (Å) after each atom.
Sites, in units of the cell vectors:
Sb 0.0000 0.0000 0.0000  2 O 2.15, 4 F 2.27
Mo 0.5000 0.5000 0.5000  8 F 3.13, 4 O 3.22
O 0.0000 0.0000 0.5000  2 Sb 2.15
F 0.0000 0.5000 0.0000  2 Sb 2.27
F 0.5000 0.0000 0.0000  2 Sb 2.27

Summary:
Total moment   5.01 μB/f.u.
Density of states at the Fermi level   0.059 states/eV per atom
Crystal system   tetragonal

***

#Q
VASP calculation (PBE with a Hubbard U) on SbMoOF2 after structural relaxation.

Cell: 4.2817 4.2817 4.2797 Å, 90.00 90.00 90.00°
With the nearest neighbours (Å) after each atom.
Sites, in units of the cell vectors:
Sb 0.5000 0.5000 0.5000  8 F 3.03, 4 O 3.03
Mo 0.0000 0.0000 0.0000  2 O 2.14, 4 F 2.14
O 0.0000 0.0000 0.5000  2 Mo 2.14
F 0.0000 0.5000 0.0000  2 Mo 2.14
F 0.5000 0.0000 0.0000  2 Mo 2.14

Summary:
Total moment   2.83 μB/f.u.
Density of states at the Fermi level   0.498 states/eV per atom
Crystal system   tetragonal

***

It is #P that is the least stable of them.

***

#P
VASP calculation (PBE with a Hubbard U) on MoSeOF2 after structural relaxation.

Cell: 4.3175 4.3175 4.0351 Å, 90.00 90.00 90.00°
With the nearest neighbours (Å) after each atom.
Sites, in units of the cell vectors:
Mo 0.0000 0.0000 0.0000  2 O 2.02, 4 F 2.16
O 0.0000 0.0000 0.5000  2 Mo 2.02
Se 0.5000 0.5000 0.5000  8 F 2.95, 4 O 3.05
F 0.0000 0.5000 0.0000  2 Mo 2.16
F 0.5000 0.0000 0.0000  2 Mo 2.16

Summary:
Total moment   4.55 μB/f.u.
Density of states at the Fermi level   0.446 states/eV per atom
Crystal system   tetragonal

***

#Q
VASP calculation (PBE with a Hubbard U) on MoSeOF2 after structural relaxation.

Cell: 4.5880 4.5880 3.8128 Å, 90.00 90.00 90.00°
With the nearest neighbours (Å) after each atom.
Sites, in units of the cell vectors:
Mo 0.5000 0.5000 0.5000  8 F 2.98, 4 O 3.24
O 0.0000 0.0000 0.5000  2 Se 1.91
Se 0.0000 0.0000 0.0000  2 O 1.91
F 0.0000 0.5000 0.0000  2 Se 2.29
F 0.5000 0.0000 0.0000  2 Se 2.29

Summary:
Total moment   4.83 μB/f.u.
Density of states at the Fermi level   0.266 states/eV per atom
Crystal system   tetragonal

***

It is #Q that is the least stable of them.

***

#P
VASP calculation (PBE with a Hubbard U) on SiMoOF2 after structural relaxation.

Cell: 4.3704 4.3704 3.5111 Å, 90.00 90.00 90.00°
With the nearest neighbours (Å) after each atom.
Sites, in units of the cell vectors:
Mo 0.5000 0.5000 0.5000  8 F 2.80, 4 O 3.09
Si 0.0000 0.0000 0.0000  2 O 1.76
O 0.0000 0.0000 0.5000  2 Si 1.76
F 0.0000 0.5000 0.0000  2 Si 2.19
F 0.5000 0.0000 0.0000  2 Si 2.19

Summary:
Total moment   4.96 μB/f.u.
Density of states at the Fermi level   0.128 states/eV per atom
Crystal system   tetragonal

***

#Q
VASP calculation (PBE with a Hubbard U) on SiMoOF2 after structural relaxation.

Cell: 4.2266 4.2266 4.2056 Å, 90.00 90.00 90.00°
With the nearest neighbours (Å) after each atom.
Sites, in units of the cell vectors:
Mo 0.0000 0.0000 0.0000  2 O 2.10, 4 F 2.11
Si 0.5000 0.5000 0.5000  8 F 2.98, 4 O 2.99
O 0.0000 0.0000 0.5000  2 Mo 2.10
F 0.0000 0.5000 0.0000  2 Mo 2.11
F 0.5000 0.0000 0.0000  2 Mo 2.11

Summary:
Total moment   2.77 μB/f.u.
Density of states at the Fermi level   0.440 states/eV per atom
Crystal system   tetragonal

***

It is #Q that is the least stable of them.

***

#P
VASP calculation (PBE with a Hubbard U) on TaMoOF2 after structural relaxation.

Cell: 4.3956 4.3956 3.9580 Å, 90.00 90.00 90.00°
With the nearest neighbours (Å) after each atom.
Sites, in units of the cell vectors:
Mo 0.5000 0.5000 0.5000  8 F 2.96, 4 O 3.11
F 0.0000 0.5000 0.0000  2 Ta 2.20
F 0.5000 0.0000 0.0000  2 Ta 2.20
O 0.0000 0.0000 0.5000  2 Ta 1.98
Ta 0.0000 0.0000 0.0000  2 O 1.98, 4 F 2.20

Summary:
Total moment   6.76 μB/f.u.
Density of states at the Fermi level   0.337 states/eV per atom
Crystal system   tetragonal

***

#Q
VASP calculation (PBE with a Hubbard U) on TaMoOF2 after structural relaxation.

Cell: 4.2312 4.2312 4.3053 Å, 90.00 90.00 90.00°
With the nearest neighbours (Å) after each atom.
Sites, in units of the cell vectors:
Mo 0.0000 0.0000 0.0000  4 F 2.12, 2 O 2.15
F 0.0000 0.5000 0.0000  2 Mo 2.12
F 0.5000 0.0000 0.0000  2 Mo 2.12
O 0.0000 0.0000 0.5000  2 Mo 2.15
Ta 0.5000 0.5000 0.5000  4 O 2.99, 8 F 3.02

Summary:
Total moment   6.76 μB/f.u.
Density of states at the Fermi level   1.132 states/eV per atom
Crystal system   tetragonal

***

It is #Q that is the least stable of them.

***

#P
VASP calculation (PBE with a Hubbard U) on TcMoOF2 after structural relaxation.

Cell: 4.5927 3.5973 4.5927 Å, 90.00 90.00 90.00°
With the nearest neighbours (Å) after each atom.
Sites, in units of the cell vectors:
Mo 0.5000 0.5000 0.5000  8 F 2.92, 4 Tc 3.25
Tc 0.0000 0.5000 0.0000  2 O 1.80
O 0.0000 0.0000 0.0000  2 Tc 1.80
F 0.0000 0.0000 0.5000  2 O 2.30
F 0.5000 0.0000 0.0000  2 O 2.30

Summary:
Total moment   0.23 μB/f.u.
Density of states at the Fermi level   0.482 states/eV per atom
Crystal system   tetragonal

***

#Q
VASP calculation (PBE with a Hubbard U) on TcMoOF2 after structural relaxation.

Cell: 4.3335 4.3335 3.8011 Å, 90.00 90.00 90.00°
With the nearest neighbours (Å) after each atom.
Sites, in units of the cell vectors:
Mo 0.5000 0.5000 0.5000  8 F 2.88, 4 O 3.06
Tc 0.0000 0.0000 0.0000  2 O 1.90
O 0.0000 0.0000 0.5000  2 Tc 1.90
F 0.0000 0.5000 0.0000  2 Tc 2.17
F 0.5000 0.0000 0.0000  2 Tc 2.17

Summary:
Total moment   4.94 μB/f.u.
Density of states at the Fermi level   0.400 states/eV per atom
Crystal system   tetragonal

***

#R
VASP calculation (PBE with a Hubbard U) on TcMoOF2 after structural relaxation.

Cell: 4.4261 4.4261 3.8853 Å, 90.00 90.00 90.00°
With the nearest neighbours (Å) after each atom.
Sites, in units of the cell vectors:
Mo 0.0000 0.0000 0.0000  2 O 1.94
Tc 0.5000 0.5000 0.5000  8 F 2.94, 4 O 3.13
O 0.0000 0.0000 0.5000  2 Mo 1.94
F 0.0000 0.5000 0.0000  2 Mo 2.21
F 0.5000 0.0000 0.0000  2 Mo 2.21

Summary:
Total moment   5.66 μB/f.u.
Density of states at the Fermi level   0.480 states/eV per atom
Crystal system   tetragonal

***

It is #P that is the least stable of them.

***

#P
VASP calculation (PBE with a Hubbard U) on TeMoOF2 after structural relaxation.

Cell: 4.2417 4.2417 4.3899 Å, 90.00 90.00 90.00°
With the nearest neighbours (Å) after each atom.
Sites, in units of the cell vectors:
Mo 0.0000 0.0000 0.0000  4 F 2.12, 2 O 2.19
Te 0.5000 0.5000 0.5000  4 O 3.00, 8 F 3.05
O 0.0000 0.0000 0.5000  2 Mo 2.19
F 0.0000 0.5000 0.0000  2 Mo 2.12
F 0.5000 0.0000 0.0000  2 Mo 2.12

Summary:
Total moment   3.75 μB/f.u.
Density of states at the Fermi level   0.574 states/eV per atom
Crystal system   tetragonal

***

#Q
VASP calculation (PBE with a Hubbard U) on TeMoOF2 after structural relaxation.

Cell: 4.7400 4.7400 4.1286 Å, 90.00 90.00 90.00°
With the nearest neighbours (Å) after each atom.
Sites, in units of the cell vectors:
Mo 0.5000 0.5000 0.5000  8 F 3.14, 4 O 3.35
Te 0.0000 0.0000 0.0000  2 O 2.06
O 0.0000 0.0000 0.5000  2 Te 2.06
F 0.0000 0.5000 0.0000  2 Te 2.37
F 0.5000 0.0000 0.0000  2 Te 2.37

Summary:
Total moment   5.00 μB/f.u.
Density of states at the Fermi level   0.429 states/eV per atom
Crystal system   tetragonal

***

It is #Q that is the least stable of them.

***

#P
VASP calculation (PBE with a Hubbard U) on TlMoOF2 after structural relaxation.

Cell: 4.3426 4.3426 4.2276 Å, 90.00 90.00 90.00°
With the nearest neighbours (Å) after each atom.
Sites, in units of the cell vectors:
Tl 0.5000 0.5000 0.5000  8 F 3.03, 4 O 3.07
Mo 0.0000 0.0000 0.0000  2 O 2.11, 4 F 2.17
O 0.0000 0.0000 0.5000  2 Mo 2.11
F 0.0000 0.5000 0.0000  2 Mo 2.17
F 0.5000 0.0000 0.0000  2 Mo 2.17

Summary:
Total moment   3.00 μB/f.u.
Density of states at the Fermi level   0.000 states/eV per atom
Crystal system   tetragonal

***

#Q
VASP calculation (PBE with a Hubbard U) on TlMoOF2 after structural relaxation.

Cell: 4.5613 4.5613 4.2645 Å, 90.00 90.00 90.00°
With the nearest neighbours (Å) after each atom.
Sites, in units of the cell vectors:
Tl 0.0000 0.0000 0.0000  2 O 2.13, 4 F 2.28
Mo 0.5000 0.5000 0.5000  8 F 3.12, 4 O 3.23
O 0.0000 0.0000 0.5000  2 Tl 2.13
F 0.0000 0.5000 0.0000  2 Tl 2.28
F 0.5000 0.0000 0.0000  2 Tl 2.28

Summary:
Total moment   4.77 μB/f.u.
Density of states at the Fermi level   0.336 states/eV per atom
Crystal system   tetragonal

***

It is #Q that is the least stable of them.

***

#P
VASP calculation (PBE with a Hubbard U) on VMoOF2 after structural relaxation.

Cell: 4.2227 4.2227 4.2157 Å, 90.00 90.00 90.00°
With the nearest neighbours (Å) after each atom.
Sites, in units of the cell vectors:
Mo 0.0000 0.0000 0.0000  2 O 2.11, 4 F 2.11
F 0.0000 0.5000 0.0000  2 Mo 2.11
F 0.5000 0.0000 0.0000  2 Mo 2.11
O 0.0000 0.0000 0.5000  2 Mo 2.11
V 0.5000 0.5000 0.5000  8 F 2.98, 4 O 2.99

Summary:
Total moment   2.70 μB/f.u.
Density of states at the Fermi level   0.350 states/eV per atom
Crystal system   tetragonal

***

#Q
VASP calculation (PBE with a Hubbard U) on VMoOF2 after structural relaxation.

Cell: 4.1609 4.1609 3.8982 Å, 90.00 90.00 90.00°
With the nearest neighbours (Å) after each atom.
Sites, in units of the cell vectors:
Mo 0.5000 0.5000 0.5000  8 F 2.85, 4 O 2.94
F 0.0000 0.5000 0.0000  2 V 2.08
F 0.5000 0.0000 0.0000  2 V 2.08
O 0.0000 0.0000 0.5000  2 V 1.95
V 0.0000 0.0000 0.0000  2 O 1.95, 4 F 2.08

Summary:
Total moment   7.00 μB/f.u.
Density of states at the Fermi level   0.267 states/eV per atom
Crystal system   tetragonal

***

It is #P that is the least stable of them.